A relaxed Li3NiRu crystal, computed with PBE.

a = 4.4915 Å, b = 4.4915 Å, c = 4.4915 Å
α = 90.00°, β = 90.00°, γ = 90.00°
Element x y z (fractional)
Li  0.0000  0.0000  0.5000
Li  0.0000  0.5000  0.0000
Li  0.5000  0.0000  0.0000
Ni  0.5000  0.5000  0.5000
Ru  0.0000  0.0000  0.0000

Symmetry ... No. 221
Crystal system ... cubic
Energy relative to the elements ... 1.177 eV/atom
E above lowest polymorph ... 1.47 eV/f.u.

=====

A relaxed Ac3AgRu crystal, computed with PBE.

a = 5.7019 Å, b = 5.7019 Å, c = 5.7019 Å
α = 90.00°, β = 90.00°, γ = 90.00°
Element x y z (fractional)
Ac  0.0000  0.0000  0.5000
Ac  0.0000  0.5000  0.0000
Ac  0.5000  0.0000  0.0000
Ag  0.5000  0.5000  0.5000
Ru  0.0000  0.0000  0.0000

Symmetry ... No. 221
Crystal system ... cubic
Energy relative to the elements ... -0.067 eV/atom
E above lowest polymorph ... 0.83 eV/f.u.

=====

A relaxed NaBeH crystal, computed with PBE.

a = 5.5850 Å, b = 5.5850 Å, c = 3.9792 Å
α = 106.79°, β = 106.79°, γ = 78.39°
Element x y z (fractional)
Na  0.0000  0.5000  0.0000
Na  0.5000  0.0000  0.0000
Be  0.0253  0.0253  0.2767
Be  0.9747  0.9747  0.7233
H  0.1531  0.8469  0.5000
H  0.8469  0.1531  0.5000

Symmetry ... No. 12
Crystal system ... monoclinic
E above lowest polymorph ... 0.23 eV/f.u.